YErThPa: relaxed, PBE.

Summary:
Formation energy from the elements, eV/atom: 0.356
M_tot, μB per atom: 0.430
Uncorrected energy, eV per atom: -6.630

a = 7.847 Å, b = 7.847 Å, c = 7.847 Å
α = 90.00°, β = 90.00°, γ = 90.00°
Space group F-43m (No. 216)
Inequivalent atoms, fractional coordinates:
Y1 0.000 0.000 0.000 (multiplicity 4)
Er1 0.250 0.250 0.750 (multiplicity 4)
Th1 0.250 0.250 0.250 (multiplicity 4)
Pa1 0.000 0.000 0.500 (multiplicity 4)